P | Here is an optimized crystal structure of Co2SbH from Alexandria via LeMat-Bulk. Energies are from PBE-GGA.

## Properties
As for the total magnetization: 0.274 μB/atom. As for the density: 8.1 g/cm3.

Cell lengths 4.452, 4.452, 3.844 Å; angles 54.61, 54.61, 60.00 degrees
Atoms (fractional coordinates):
Sb: 0.500 0.500 0.500
Co: 0.186 0.186 0.441
Co: 0.814 0.814 0.559
H: 0.000 0.000 0.000

Q | Here is an optimized crystal structure of Co2SbH from Alexandria via LeMat-Bulk. Energies are from PBE-GGA.

## Properties
As for the total magnetization: 0.000 μB/atom. As for the density: 8.3 g/cm3.

Cell lengths 4.079, 4.079, 4.079 Å; angles 60.00, 60.00, 60.00 degrees
Atoms (fractional coordinates):
Sb: 0.500 0.500 0.500
Co: 0.250 0.250 0.250
Co: 0.750 0.750 0.750
H: 0.000 0.000 0.000

Most stable one: P, least stable one: Q.

P | Here is an optimized crystal structure of CoSb2H from Alexandria via LeMat-Bulk. Energies are from PBE-GGA.

## Properties
As for the total magnetization: 0.000 μB/atom. As for the density: 6.4 g/cm3.

Cell lengths 5.032, 5.032, 7.134 Å; angles 69.35, 69.35, 90.00 degrees
Atoms (fractional coordinates):
Sb: 0.608 0.125 0.250
Sb: 0.142 0.625 0.250
Sb: 0.375 0.392 0.750
Sb: 0.875 0.858 0.750
Co: 0.000 0.000 0.000
Co: 0.750 0.250 0.500
H: 0.500 0.500 0.000
H: 0.250 0.750 0.500

Q | Here is an optimized crystal structure of CoSb2H from Alexandria via LeMat-Bulk. Energies are from PBE-GGA.

## Properties
As for the total magnetization: 0.000 μB/atom. As for the density: 8.2 g/cm3.

Cell lengths 4.425, 4.425, 4.425 Å; angles 60.00, 60.00, 60.00 degrees
Atoms (fractional coordinates):
Sb: 0.250 0.250 0.250
Sb: 0.750 0.750 0.750
Co: 0.500 0.500 0.500
H: 0.000 0.000 0.000

Most stable one: Q, least stable one: P.

P | Here is an optimized crystal structure of CoSbTe2H from Alexandria via LeMat-Bulk. Energies are from PBE-GGA.

## Properties
As for the total magnetization: 0.382 μB/atom. As for the density: 7.3 g/cm3.

Cell lengths 5.058, 5.058, 3.875 Å; angles 90.00, 90.00, 90.00 degrees
Atoms (fractional coordinates):
Sb: 0.000 0.000 0.500
Te: 0.000 0.500 0.000
Te: 0.500 0.000 0.000
Co: 0.500 0.500 0.500
H: 0.000 0.000 0.000

Q | Here is an optimized crystal structure of CoSbTe2H from Alexandria via LeMat-Bulk. Energies are from PBE-GGA.

## Properties
As for the total magnetization: 0.335 μB/atom. As for the density: 5.7 g/cm3.

Cell lengths 5.141, 5.141, 4.826 Å; angles 90.00, 90.00, 90.00 degrees
Atoms (fractional coordinates):
Sb: 0.000 0.000 0.500
Te: 0.000 0.500 0.000
Te: 0.500 0.000 0.000
Co: 0.000 0.000 0.000
H: 0.500 0.500 0.500

Most stable one: Q, least stable one: P.

P | Here is an optimized crystal structure of V2CoSbH from Alexandria via LeMat-Bulk. Energies are from PBE-GGA.

## Properties
As for the total magnetization: 0.036 μB/atom. As for the density: 5.3 g/cm3.

Cell lengths 4.399, 4.610, 4.399 Å; angles 90.00, 90.00, 90.00 degrees
Atoms (fractional coordinates):
Sb: 0.000 0.500 0.000
Co: 0.000 0.000 0.000
H: 0.500 0.500 0.500
V: 0.000 0.000 0.500
V: 0.500 0.000 0.000

Q | Here is an optimized crystal structure of V2CoSbH from Alexandria via LeMat-Bulk. Energies are from PBE-GGA.

## Properties
As for the total magnetization: 0.000 μB/atom. As for the density: 8.0 g/cm3.

Cell lengths 3.747, 4.184, 3.747 Å; angles 90.00, 90.00, 90.00 degrees
Atoms (fractional coordinates):
Sb: 0.500 0.500 0.500
Co: 0.000 0.500 0.000
H: 0.000 0.000 0.000
V: 0.000 0.000 0.500
V: 0.500 0.000 0.000

Most stable one: Q, least stable one: P.

P | Here is an optimized crystal structure of ScCoH4 from Alexandria via LeMat-Bulk. Energies are from PBE-GGA.

## Properties
As for the total magnetization: 0.000 μB/atom. As for the density: 3.9 g/cm3.

Cell lengths 5.166, 5.708, 4.635 Å; angles 105.46, 99.87, 128.80 degrees
Atoms (fractional coordinates):
Sc: 0.383 0.633 0.265
Sc: 0.617 0.367 0.735
Co: 0.292 0.042 0.085
Co: 0.708 0.958 0.915
H: 0.904 0.238 0.800
H: 0.913 0.868 0.744
H: 0.396 0.562 0.800
H: 0.331 0.876 0.744
H: 0.669 0.124 0.256
H: 0.604 0.438 0.200
H: 0.087 0.132 0.256
H: 0.096 0.762 0.200

Q | Here is an optimized crystal structure of ScCoH4 from Alexandria via LeMat-Bulk. Energies are from PBE-GGA.

## Properties
As for the total magnetization: 0.001 μB/atom. As for the density: 4.0 g/cm3.

Cell lengths 3.418, 3.994, 3.994 Å; angles 100.55, 115.33, 64.67 degrees
Atoms (fractional coordinates):
Sc: 0.750 0.500 0.500
Co: 0.500 0.000 0.000
H: 0.453 0.090 0.386
H: 0.158 0.910 0.614
H: 0.457 0.386 0.910
H: 0.933 0.614 0.090

Most stable one: P, least stable one: Q.

P | Here is an optimized crystal structure of ScCo3H from Alexandria via LeMat-Bulk. Energies are from PBE-GGA.

## Properties
As for the total magnetization: 0.602 μB/atom. As for the density: 4.1 g/cm3.

Cell lengths 4.471, 4.471, 4.471 Å; angles 90.00, 90.00, 90.00 degrees
Atoms (fractional coordinates):
Sc: 0.000 0.000 0.000
H: 0.500 0.500 0.500
Co: 0.000 0.500 0.000
Co: 0.000 0.000 0.500
Co: 0.500 0.000 0.000

Q | Here is an optimized crystal structure of ScCo3H from Alexandria via LeMat-Bulk. Energies are from PBE-GGA.

## Properties
As for the total magnetization: 0.542 μB/atom. As for the density: 7.1 g/cm3.

Cell lengths 3.743, 3.743, 3.743 Å; angles 90.00, 90.00, 90.00 degrees
Atoms (fractional coordinates):
Sc: 0.500 0.500 0.500
H: 0.000 0.000 0.000
Co: 0.000 0.500 0.000
Co: 0.000 0.000 0.500
Co: 0.500 0.000 0.000

Most stable one: Q, least stable one: P.

P | Here is an optimized crystal structure of ScCo2H2 from Alexandria via LeMat-Bulk. Energies are from PBE-GGA.

## Properties
As for the total magnetization: 0.307 μB/atom. As for the density: 5.3 g/cm3.

Cell lengths 6.312, 6.312, 2.616 Å; angles 90.00, 90.00, 90.00 degrees
Atoms (fractional coordinates):
Sc: 0.000 0.000 0.000
Sc: 0.500 0.500 0.000
H: 0.259 0.759 0.500
H: 0.759 0.741 0.500
H: 0.741 0.241 0.500
H: 0.241 0.259 0.500
Co: 0.375 0.875 0.000
Co: 0.875 0.625 0.000
Co: 0.625 0.125 0.000
Co: 0.125 0.375 0.000

Q | Here is an optimized crystal structure of ScCo2H2 from Alexandria via LeMat-Bulk. Energies are from PBE-GGA.

## Properties
As for the total magnetization: 0.383 μB/atom. As for the density: 6.0 g/cm3.

Cell lengths 3.270, 3.270, 4.858 Å; angles 70.33, 70.33, 90.00 degrees
Atoms (fractional coordinates):
Sc: 0.000 0.000 0.000
H: 0.750 0.250 0.500
H: 0.250 0.750 0.500
Co: 0.335 0.335 0.331
Co: 0.665 0.665 0.669

Most stable one: Q, least stable one: P.

P | Here is an optimized crystal structure of Sc3CoH from Alexandria via LeMat-Bulk. Energies are from PBE-GGA.

## Properties
As for the total magnetization: 0.278 μB/atom. As for the density: 4.1 g/cm3.

Cell lengths 4.294, 4.294, 4.294 Å; angles 90.00, 90.00, 90.00 degrees
Atoms (fractional coordinates):
Sc: 0.000 0.500 0.000
Sc: 0.000 0.000 0.500
Sc: 0.500 0.000 0.000
H: 0.000 0.000 0.000
Co: 0.500 0.500 0.500

Q | Here is an optimized crystal structure of Sc3CoH from Alexandria via LeMat-Bulk. Energies are from PBE-GGA.

## Properties
As for the total magnetization: 0.000 μB/atom. As for the density: 4.0 g/cm3.

Cell lengths 3.326, 5.910, 9.006 Å; angles 72.61, 90.00, 73.67 degrees
Atoms (fractional coordinates):
Sc: 0.241 0.087 0.337
Sc: 0.494 0.580 0.107
Sc: 0.194 0.181 0.952
Sc: 0.700 0.169 0.641
Sc: 0.448 0.673 0.722
Sc: 0.988 0.592 0.418
Co: 0.818 0.933 0.164
Co: 0.870 0.828 0.895
H: 0.080 0.409 0.685
H: 0.608 0.352 0.374

Most stable one: Q, least stable one: P.

P | Here is an optimized crystal structure of Co2HSe from Alexandria via LeMat-Bulk. Energies are from PBE-GGA.

## Properties
As for the total magnetization: 0.265 μB/atom. As for the density: 7.3 g/cm3.

Cell lengths 4.485, 4.485, 5.469 Å; angles 65.79, 65.79, 90.00 degrees
Atoms (fractional coordinates):
H: 0.500 0.500 0.000
H: 0.250 0.750 0.500
Co: 0.506 0.125 0.250
Co: 0.244 0.625 0.250
Co: 0.375 0.494 0.750
Co: 0.875 0.756 0.750
Se: 0.000 0.000 0.000
Se: 0.750 0.250 0.500

Q | Here is an optimized crystal structure of Co2HSe from Alexandria via LeMat-Bulk. Energies are from PBE-GGA.

## Properties
As for the total magnetization: 0.275 μB/atom. As for the density: 7.9 g/cm3.

Cell lengths 3.883, 3.883, 3.883 Å; angles 60.00, 60.00, 60.00 degrees
Atoms (fractional coordinates):
H: 0.000 0.000 0.000
Co: 0.250 0.250 0.250
Co: 0.750 0.750 0.750
Se: 0.500 0.500 0.500

Most stable one: P, least stable one: Q.

P | Here is an optimized crystal structure of Co2H2Se from Alexandria via LeMat-Bulk. Energies are from PBE-GGA.

## Properties
As for the total magnetization: 0.000 μB/atom. As for the density: 7.7 g/cm3.

Cell lengths 2.978, 2.978, 5.289 Å; angles 73.65, 73.65, 90.00 degrees
Atoms (fractional coordinates):
H: 0.750 0.250 0.500
H: 0.250 0.750 0.500
Co: 0.349 0.349 0.303
Co: 0.651 0.651 0.697
Se: 0.000 0.000 0.000

Q | Here is an optimized crystal structure of Co2H2Se from Alexandria via LeMat-Bulk. Energies are from PBE-GGA.

## Properties
As for the total magnetization: 0.442 μB/atom. As for the density: 6.6 g/cm3.

Cell lengths 6.178, 6.178, 2.610 Å; angles 90.00, 90.00, 90.00 degrees
Atoms (fractional coordinates):
H: 0.087 0.587 0.500
H: 0.587 0.913 0.500
H: 0.913 0.413 0.500
H: 0.413 0.087 0.500
Co: 0.373 0.873 0.000
Co: 0.873 0.627 0.000
Co: 0.627 0.127 0.000
Co: 0.127 0.373 0.000
Se: 0.000 0.000 0.000
Se: 0.500 0.500 0.000

Most stable one: P, least stable one: Q.

P | Here is an optimized crystal structure of CoHSe3 from Alexandria via LeMat-Bulk. Energies are from PBE-GGA.

## Properties
As for the total magnetization: 0.392 μB/atom. As for the density: 6.3 g/cm3.

Cell lengths 4.270, 4.270, 4.270 Å; angles 90.00, 90.00, 90.00 degrees
Atoms (fractional coordinates):
H: 0.000 0.000 0.000
Co: 0.500 0.500 0.500
Se: 0.000 0.500 0.000
Se: 0.000 0.000 0.500
Se: 0.500 0.000 0.000

Q | Here is an optimized crystal structure of CoHSe3 from Alexandria via LeMat-Bulk. Energies are from PBE-GGA.

## Properties
As for the total magnetization: 0.486 μB/atom. As for the density: 4.7 g/cm3.

Cell lengths 4.723, 4.723, 4.723 Å; angles 90.00, 90.00, 90.00 degrees
Atoms (fractional coordinates):
H: 0.500 0.500 0.500
Co: 0.000 0.000 0.000
Se: 0.000 0.500 0.000
Se: 0.000 0.000 0.500
Se: 0.500 0.000 0.000

Most stable one: Q, least stable one: P.

P | Here is an optimized crystal structure of CoHSe2 from Alexandria via LeMat-Bulk. Energies are from PBE-GGA.

## Properties
As for the total magnetization: 0.000 μB/atom. As for the density: 5.6 g/cm3.

Cell lengths 5.123, 5.123, 6.117 Å; angles 65.25, 65.25, 90.00 degrees
Atoms (fractional coordinates):
H: 0.500 0.500 0.000
H: 0.250 0.750 0.500
Co: 0.000 0.000 0.000
Co: 0.750 0.250 0.500
Se: 0.610 0.125 0.250
Se: 0.140 0.625 0.250
Se: 0.375 0.390 0.750
Se: 0.875 0.860 0.750

Q | Here is an optimized crystal structure of CoHSe2 from Alexandria via LeMat-Bulk. Energies are from PBE-GGA.

## Properties
As for the total magnetization: 0.000 μB/atom. As for the density: 5.2 g/cm3.

Cell lengths 3.601, 6.319, 8.328 Å; angles 121.50, 64.66, 90.01 degrees
Atoms (fractional coordinates):
Co: 0.279 0.833 0.550
Co: 0.776 0.353 0.553
H: 0.711 0.897 0.115
H: 0.345 0.290 0.988
Se: 0.970 0.537 0.357
Se: 0.460 0.052 0.367
Se: 0.085 0.649 0.746
Se: 0.595 0.134 0.736

R | Here is an optimized crystal structure of CoHSe2 from Alexandria via LeMat-Bulk. Energies are from PBE-GGA.

## Properties
As for the total magnetization: 0.000 μB/atom. As for the density: 6.4 g/cm3.

Cell lengths 7.688, 7.688, 7.688 Å; angles 22.05, 22.05, 22.05 degrees
Atoms (fractional coordinates):
H: 0.500 0.500 0.500
Co: 0.000 0.000 0.000
Se: 0.901 0.901 0.901
Se: 0.099 0.099 0.099

S | Here is an optimized crystal structure of CoHSe2 from Alexandria via LeMat-Bulk. Energies are from PBE-GGA.

## Properties
As for the total magnetization: 0.000 μB/atom. As for the density: 5.4 g/cm3.

Cell lengths 6.234, 6.234, 6.234 Å; angles 33.82, 33.82, 33.82 degrees
Atoms (fractional coordinates):
H: 0.000 0.000 0.000
Co: 0.500 0.500 0.500
Se: 0.899 0.899 0.899
Se: 0.101 0.101 0.101

Most stable one: Q, least stable one: R.